(1)
DFT (PBE) results for PuHf2Re after structural relaxation.

Properties
Magnetization ... 1.247 μB per atom
Offset from the most stable computed form ... 0.238 eV per atom

a b c (Å): 4.8647 4.8647 3.3219
angles (deg): 90.00 90.00 90.00
Space group P4/mmm (No. 123)
Inequivalent atoms, fractional coordinates:
Pu  0.0000  0.0000  0.0000 x1
Hf  0.0000  0.5000  0.5000 x2
Re  0.5000  0.5000  0.0000 x1

---

(2)
DFT (PBE) results for PuHf2Re after structural relaxation.

Properties
Magnetization ... 1.488 μB per atom
Offset from the most stable computed form ... 0.000 eV per atom

a b c (Å): 3.2678 3.2678 7.8840
angles (deg): 90.00 90.00 90.00
Space group P4/mmm (No. 123)
Inequivalent atoms, fractional coordinates:
Pu  0.0000  0.0000  0.0000 x1
Hf  0.5000  0.5000  0.2983 x2
Re  0.0000  0.0000  0.5000 x1

---

(3)
DFT (PBE) results for PuHf2Re after structural relaxation.

Properties
Magnetization ... 1.259 μB per atom
Offset from the most stable computed form ... 0.186 eV per atom

a b c (Å): 6.8119 6.8119 6.8119
angles (deg): 90.00 90.00 90.00
Space group Fm-3m (No. 225)
Inequivalent atoms, fractional coordinates:
Pu  0.0000  0.0000  0.0000 x4
Hf  0.2500  0.2500  0.2500 x8
Re  0.0000  0.0000  0.5000 x4

---

no.,energy of formation (eV per formula unit),total DFT energy (no corrections) (eV/atom)
1,0.6,-11.517
2,-0.3,-11.756
3,0.4,-11.570